--- one ---
First-principles (PBE) data for Ti2FeIr after structural relaxation, as listed in the Alexandria database.

Cell lengths 3.0138, 3.0138, 6.2042 Å; angles 90.00, 90.00, 90.00 degrees
Space group P4/mmm (No. 123)
Asymmetric unit:
Ti (0.0000, 0.0000, 0.2337) x2
Fe (0.5000, 0.5000, 0.0000) x1
Ir (0.5000, 0.5000, 0.5000) x1

As for the density of states at the Fermi level: 2.8 states/eV/f.u.

=====

--- two ---
First-principles (PBE) data for Ti2FeIr after structural relaxation, as listed in the Alexandria database.

Cell lengths 6.1094, 6.1094, 6.1094 Å; angles 90.00, 90.00, 90.00 degrees
Space group Fm-3m (No. 225)
Asymmetric unit:
Ti (0.2500, 0.2500, 0.2500) x8
Fe (0.0000, 0.0000, 0.0000) x4
Ir (0.0000, 0.0000, 0.5000) x4

As for the density of states at the Fermi level: 2.7 states/eV/f.u.

=====

--- three ---
First-principles (PBE) data for Ti2FeIr after structural relaxation, as listed in the Alexandria database.

Cell lengths 4.2665, 4.2665, 3.1288 Å; angles 90.00, 90.00, 90.00 degrees
Space group P4/mmm (No. 123)
Asymmetric unit:
Ti (0.0000, 0.5000, 0.0000) x2
Fe (0.0000, 0.0000, 0.5000) x1
Ir (0.5000, 0.5000, 0.5000) x1

As for the density of states at the Fermi level: 2.8 states/eV/f.u.

=====

--- four ---
First-principles (PBE) data for Ti2FeIr after structural relaxation, as listed in the Alexandria database.

Cell lengths 3.9364, 3.9364, 16.4126 Å; angles 90.00, 90.00, 90.00 degrees
Space group I-42d (No. 122)
Asymmetric unit:
Ti (0.2383, 0.2500, 0.1250) x8
Fe (0.0000, 0.0000, 0.0000) x4
Ir (0.0000, 0.0000, 0.5000) x4

As for the density of states at the Fermi level: 7.7 states/eV/f.u.

=====

Verdict on stability: two comes out on top.

=====

--- one ---
First-principles (PBE) data for Ti4FeIr after structural relaxation, as listed in the Alexandria database.

Cell lengths 5.8910, 5.8910, 5.9901 Å; angles 90.00, 90.08, 90.00 degrees
Space group C2/m (No. 12)
Asymmetric unit:
Ti (0.2497, 0.2501, 0.2363) x8
Fe (0.0000, 0.0000, 0.0000) x2
Ir (0.0000, 0.5000, 0.5000) x2

As for the density of states at the Fermi level: 7.5 states/eV/f.u.

=====

--- two ---
First-principles (PBE) data for Ti4FeIr after structural relaxation, as listed in the Alexandria database.

Cell lengths 3.0276, 3.0276, 9.7053 Å; angles 90.00, 90.00, 90.00 degrees
Space group P4/mmm (No. 123)
Asymmetric unit:
Ti (0.0000, 0.0000, 0.1500) x2
Ti (0.5000, 0.5000, 0.3334) x2
Fe (0.5000, 0.5000, 0.0000) x1
Ir (0.0000, 0.0000, 0.5000) x1

As for the density of states at the Fermi level: 4.7 states/eV/f.u.

=====

Verdict on stability: two comes out on top.

=====

--- one ---
First-principles (PBE) data for TiFe2Ir2 after structural relaxation, as listed in the Alexandria database.

Cell lengths 7.1822, 7.1822, 2.7537 Å; angles 90.00, 90.00, 90.00 degrees
Space group P4/mbm (No. 127)
Asymmetric unit:
Ti (0.0000, 0.0000, 0.0000) x2
Fe (0.1671, 0.3329, 0.5000) x4
Ir (0.1326, 0.6326, 0.0000) x4

As for the density of states at the Fermi level: 5.4 states/eV/f.u.

=====

--- two ---
First-principles (PBE) data for TiFe2Ir2 after structural relaxation, as listed in the Alexandria database.

Cell lengths 7.1013, 7.1013, 2.7037 Å; angles 90.00, 90.00, 90.00 degrees
Space group P4/mbm (No. 127)
Asymmetric unit:
Ti (0.0000, 0.0000, 0.0000) x2
Fe (0.1175, 0.3825, 0.0000) x4
Ir (0.1781, 0.6781, 0.5000) x4

As for the density of states at the Fermi level: 5.8 states/eV/f.u.

=====

Verdict on stability: two comes out on top.

=====

--- one ---
First-principles (PBE) data for TlFeIr after structural relaxation, as listed in the Alexandria database.

Cell lengths 2.9917, 2.9917, 11.3525 Å; angles 90.00, 90.00, 90.00 degrees
Space group I4mm (No. 107)
Asymmetric unit:
Tl (0.0000, 0.0000, 0.0000) x2
Fe (0.0000, 0.0000, 0.6843) x2
Ir (0.0000, 0.0000, 0.3125) x2

As for the density of states at the Fermi level: 2.5 states/eV/f.u.

=====

--- two ---
First-principles (PBE) data for TlFeIr after structural relaxation, as listed in the Alexandria database.

Cell lengths 6.2019, 6.2019, 6.2019 Å; angles 90.00, 90.00, 90.00 degrees
Space group F-43m (No. 216)
Asymmetric unit:
Tl (0.0000, 0.0000, 0.0000) x4
Fe (0.0000, 0.0000, 0.5000) x4
Ir (0.2500, 0.2500, 0.2500) x4

As for the density of states at the Fermi level: 4.5 states/eV/f.u.

=====

--- three ---
First-principles (PBE) data for TlFeIr after structural relaxation, as listed in the Alexandria database.

Cell lengths 4.3984, 4.3984, 3.0365 Å; angles 90.00, 90.00, 120.00 degrees
Space group P3m1 (No. 156)
Asymmetric unit:
Tl (0.0000, 0.0000, 0.0000) x1
Fe (0.6667, 0.3333, 0.4373) x1
Ir (0.3333, 0.6667, 0.5414) x1

As for the density of states at the Fermi level: 1.9 states/eV/f.u.

=====

Verdict on stability: one comes out on top.

=====

--- one ---
First-principles (PBE) data for V2FeIr2 after structural relaxation, as listed in the Alexandria database.

Cell lengths 5.3731, 10.9478, 4.6959 Å; angles 90.00, 90.00, 90.00 degrees
Space group Ibam (No. 72)
Asymmetric unit:
V (0.1827, 0.1745, 0.0000) x8
Fe (0.0000, 0.0000, 0.2500) x4
Ir (0.1538, 0.3968, 0.0000) x8

As for the density of states at the Fermi level: 4.8 states/eV/f.u.

=====

--- two ---
First-principles (PBE) data for V2FeIr2 after structural relaxation, as listed in the Alexandria database.

Cell lengths 7.2266, 7.2266, 2.7903 Å; angles 90.00, 90.00, 90.00 degrees
Space group P4/mbm (No. 127)
Asymmetric unit:
V (0.1630, 0.3370, 0.0000) x4
Fe (0.0000, 0.0000, 0.5000) x2
Ir (0.1367, 0.6367, 0.5000) x4

As for the density of states at the Fermi level: 4.6 states/eV/f.u.

=====

--- three ---
First-principles (PBE) data for V2FeIr2 after structural relaxation, as listed in the Alexandria database.

Cell lengths 4.3614, 11.5618, 2.7410 Å; angles 90.00, 90.00, 90.00 degrees
Space group Cmmm (No. 65)
Asymmetric unit:
V (0.0000, 0.1848, 0.0000) x4
Fe (0.0000, 0.0000, 0.5000) x2
Ir (0.0000, 0.3795, 0.5000) x4

As for the density of states at the Fermi level: 6.8 states/eV/f.u.

=====

Verdict on stability: one comes out on top.

=====

--- one ---
First-principles (PBE) data for VFe2Ir after structural relaxation, as listed in the Alexandria database.

Cell lengths 3.5080, 3.5080, 18.1451 Å; angles 90.00, 90.00, 90.00 degrees
Space group I-42d (No. 122)
Asymmetric unit:
V (0.0000, 0.0000, 0.0000) x4
Fe (0.2483, 0.2500, 0.1250) x8
Ir (0.0000, 0.0000, 0.5000) x4

As for the density of states at the Fermi level: 3.9 states/eV/f.u.

=====

--- two ---
First-principles (PBE) data for VFe2Ir after structural relaxation, as listed in the Alexandria database.

Cell lengths 5.9136, 5.9136, 5.9136 Å; angles 90.00, 90.00, 90.00 degrees
Space group Fm-3m (No. 225)
Asymmetric unit:
V (0.0000, 0.0000, 0.0000) x4
Fe (0.2500, 0.2500, 0.2500) x8
Ir (0.0000, 0.0000, 0.5000) x4

As for the density of states at the Fermi level: 4.8 states/eV/f.u.

=====

Verdict on stability: two comes out on top.

=====

--- one ---
First-principles (PBE) data for VFe2Ir after structural relaxation, as listed in the Alexandria database.

Cell lengths 3.6774, 3.6774, 3.7137 Å; angles 90.00, 90.00, 90.00 degrees
Space group P4/mmm (No. 123)
Asymmetric unit:
V (0.0000, 0.0000, 0.0000) x1
Fe (0.0000, 0.5000, 0.5000) x2
Ir (0.5000, 0.5000, 0.0000) x1

As for the density of states at the Fermi level: 3.9 states/eV/f.u.

=====

--- two ---
First-principles (PBE) data for VFe2Ir after structural relaxation, as listed in the Alexandria database.

Cell lengths 2.9653, 2.9653, 5.8005 Å; angles 90.00, 90.00, 90.00 degrees
Space group P4/mmm (No. 123)
Asymmetric unit:
V (0.0000, 0.0000, 0.0000) x1
Fe (0.5000, 0.5000, 0.2293) x2
Ir (0.0000, 0.0000, 0.5000) x1

As for the density of states at the Fermi level: 3.2 states/eV/f.u.

=====

Verdict on stability: one comes out on top.

=====

--- one ---
First-principles (PBE) data for V2Fe2Ir after structural relaxation, as listed in the Alexandria database.

Cell lengths 8.4937, 2.7086, 6.4584 Å; angles 90.00, 121.47, 90.00 degrees
Space group C2/m (No. 12)
Asymmetric unit:
V (0.1813, 0.0000, 0.2676) x4
Fe (0.1034, 0.5000, 0.8991) x4
Ir (0.0000, 0.0000, 0.5000) x2

As for the density of states at the Fermi level: 6.3 states/eV/f.u.

=====

--- two ---
First-principles (PBE) data for V2Fe2Ir after structural relaxation, as listed in the Alexandria database.

Cell lengths 6.6185, 6.6185, 2.8222 Å; angles 90.00, 90.00, 90.00 degrees
Space group P4/mbm (No. 127)
Asymmetric unit:
V (0.1733, 0.3267, 0.0000) x4
Fe (0.1268, 0.6268, 0.5000) x4
Ir (0.0000, 0.0000, 0.5000) x2

As for the density of states at the Fermi level: 6.8 states/eV/f.u.

=====

Verdict on stability: one comes out on top.

=====

--- one ---
First-principles (PBE) data for VFe3Ir after structural relaxation, as listed in the Alexandria database.

Cell lengths 4.1583, 4.1583, 4.1583 Å; angles 90.00, 90.00, 90.00 degrees
Space group Pm-3m (No. 221)
Asymmetric unit:
V (0.0000, 0.0000, 0.0000) x1
Fe (0.0000, 0.0000, 0.5000) x3
Ir (0.5000, 0.5000, 0.5000) x1

As for the density of states at the Fermi level: 5.3 states/eV/f.u.

=====

--- two ---
First-principles (PBE) data for VFe3Ir after structural relaxation, as listed in the Alexandria database.

Cell lengths 4.5984, 4.5984, 4.5984 Å; angles 90.00, 90.00, 90.00 degrees
Space group Pm-3m (No. 221)
Asymmetric unit:
V (0.0000, 0.0000, 0.0000) x1
Fe (0.0000, 0.5000, 0.5000) x3
Ir (0.5000, 0.5000, 0.5000) x1

As for the density of states at the Fermi level: 12.1 states/eV/f.u.

=====

Verdict on stability: one comes out on top.

=====

--- one ---
First-principles (PBE) data for Fe2Ir2W after structural relaxation, as listed in the Alexandria database.

Cell lengths 9.1928, 4.2609, 7.3239 Å; angles 90.00, 107.39, 90.00 degrees
Space group C2/m (No. 12)
Asymmetric unit:
Fe (0.0415, 0.0000, 0.3574) x4
Fe (0.1323, 0.0000, 0.0785) x4
Ir (0.0611, 0.5000, 0.8542) x4
Ir (0.1628, 0.5000, 0.5373) x4
W (0.2438, 0.0000, 0.7811) x4

As for the density of states at the Fermi level: 4.8 states/eV/f.u.

=====

--- two ---
First-principles (PBE) data for Fe2Ir2W after structural relaxation, as listed in the Alexandria database.

Cell lengths 7.0332, 7.0332, 2.7136 Å; angles 90.00, 90.00, 90.00 degrees
Space group P4/mbm (No. 127)
Asymmetric unit:
Fe (0.1179, 0.3821, 0.0000) x4
Ir (0.1771, 0.6771, 0.5000) x4
W (0.0000, 0.0000, 0.0000) x2

As for the density of states at the Fermi level: 6.8 states/eV/f.u.

=====

Verdict on stability: one comes out on top.

=====

--- one ---
First-principles (PBE) data for YFe3Ir after structural relaxation, as listed in the Alexandria database.

Cell lengths 4.6694, 4.6694, 4.6694 Å; angles 90.00, 90.00, 90.00 degrees
Space group Pm-3m (No. 221)
Asymmetric unit:
Y (0.0000, 0.0000, 0.0000) x1
Fe (0.0000, 0.5000, 0.5000) x3
Ir (0.5000, 0.5000, 0.5000) x1

As for the density of states at the Fermi level: 9.0 states/eV/f.u.

=====

--- two ---
First-principles (PBE) data for YFe3Ir after structural relaxation, as listed in the Alexandria database.

Cell lengths 4.5050, 4.5050, 4.5050 Å; angles 90.00, 90.00, 90.00 degrees
Space group Pm-3m (No. 221)
Asymmetric unit:
Y (0.0000, 0.0000, 0.0000) x1
Fe (0.0000, 0.0000, 0.5000) x3
Ir (0.5000, 0.5000, 0.5000) x1

As for the density of states at the Fermi level: 7.3 states/eV/f.u.

=====

Verdict on stability: one comes out on top.